DFT (GGA-PBE) results for a relaxed Ba4NpNb3O12 crystal.

Summary:
DOS at the Fermi energy ... 8.37 states/eV/f.u.
Formation energy without anion corrections ... -2.784 eV/atom

The structure in CIF format:
```
data_Ba4NpNb3O12
_chemical_formula_sum 'Ba8 Np2 Nb6 O24'
_cell_length_a 8.4475
_cell_length_b 8.4475
_cell_length_c 8.4475
_cell_angle_alpha 90.00
_cell_angle_beta 90.00
_cell_angle_gamma 90.00
_symmetry_space_group_name_H-M 'I m -3 m'
_symmetry_Int_Tables_number 229
_symmetry_space_group_name_Hall '-I 4 2 3'
loop_
_atom_site_label
_atom_site_type_symbol
_atom_site_fract_x
_atom_site_fract_y
_atom_site_fract_z
Ba1 Ba 0.2500 0.2500 0.2500
Np1 Np 0.0000 0.0000 0.0000
Nb1 Nb 0.0000 0.0000 0.5000
O1 O 0.0000 0.0000 0.2582
O2 O 0.0000 0.2500 0.5000
```